A crystal of FeAu2Se relaxed with PBEsol. Source: Alexandria, functional SCAN. Values from VASP.

Results
Energy in eV per atom: -43.957
Magnetization in μB/cell: 3.49
Formation energy without anion corrections in meV per atom: 173
Space-group type: C2/m, No. 12

The structure in Quantum ESPRESSO input format:
```
&SYSTEM
  ibrav = 0, nat = 4, ntyp = 3
/
ATOMIC_SPECIES
Se 78.96 Se.upf
Fe 55.84 Fe.upf
Au 196.97 Au.upf
CELL_PARAMETERS angstrom
-2.0523 -2.1128 1.9551
-0.5495 -2.3696 -3.1549
5.2719 -0.4120 1.9011
ATOMIC_POSITIONS angstrom
Se -1.3009 -2.2412 -0.5999
Fe 0.0000 0.0000 0.0000
Au 2.6359 -0.2060 0.9505
Au 1.3350 -2.4472 0.3506
```

***

A crystal of YAl2Fe relaxed with PBEsol. Source: Alexandria, functional SCAN. Values from VASP.

Results
Calculated formation energy in eV/atom: -0.1480
Energy in eV per atom: -15.517
Magnetization in μB/cell: 0.47
Space-group type: P4mm, No. 99

The structure in Quantum ESPRESSO input format:
```
&SYSTEM
  ibrav = 0, nat = 4, ntyp = 3
/
ATOMIC_SPECIES
Fe 55.84 Fe.upf
Al 26.98 Al.upf
Y 88.91 Y.upf
CELL_PARAMETERS angstrom
3.1235 0.0000 0.0000
0.0000 3.1235 0.0000
0.0000 0.0000 6.9097
ATOMIC_POSITIONS angstrom
Fe 0.0000 0.0000 3.0515
Al 1.5618 1.5618 2.0140
Al 0.0000 0.0000 0.3557
Y 1.5618 1.5618 4.9434
```

***

A crystal of LiCaRu2 relaxed with PBEsol. Source: Alexandria, functional SCAN. Values from VASP.

Results
Calculated formation energy in eV/atom: 0.2482
Energy in eV per atom: -20.178
E above lowest polymorph in meV/atom: 0
Magnetization in μB/cell: 0.00
Space-group type: Pm, No. 6

The structure in Quantum ESPRESSO input format:
```
&SYSTEM
  ibrav = 0, nat = 4, ntyp = 3
/
ATOMIC_SPECIES
Ca 40.08 Ca.upf
Ru 101.07 Ru.upf
Li 6.94 Li.upf
CELL_PARAMETERS angstrom
0.1216 -0.1898 2.8580
-0.2707 -3.5982 -0.2274
6.6203 -0.4776 -0.3223
ATOMIC_POSITIONS angstrom
Ca 3.1976 -0.2309 -0.1517
Ru 0.2913 -0.2019 2.8481
Ru 1.1491 -1.9823 1.2554
Li 5.2651 -2.2791 1.0533
```

***

A crystal of K2ZrAl relaxed with PBEsol. Source: Alexandria, functional SCAN. Values from VASP.

Results
Calculated formation energy in eV/atom: 0.7279
Energy in eV per atom: -13.049
Magnetization in μB/cell: 0.00
Space-group type: Cmmm, No. 65

The structure in Quantum ESPRESSO input format:
```
&SYSTEM
  ibrav = 0, nat = 4, ntyp = 3
/
ATOMIC_SPECIES
K 39.10 K.upf
Zr 91.22 Zr.upf
Al 26.98 Al.upf
CELL_PARAMETERS angstrom
3.1320 -0.0167 0.0000
-1.3298 2.8358 0.0000
0.0000 0.0000 12.8963
ATOMIC_POSITIONS angstrom
K 0.0000 0.0000 3.0537
K 0.0000 0.0000 9.8426
Zr 0.9011 1.4095 6.4481
Al 0.9011 1.4095 0.0000
```

***

A crystal of TiB2Ru relaxed with PBEsol. Source: Alexandria, functional SCAN. Values from VASP.

Results
Calculated formation energy in eV/atom: -0.1653
Energy in eV per atom: -16.594
Magnetization in μB/cell: 0.00
Space-group type: Fm-3m, No. 225

The structure in Quantum ESPRESSO input format:
```
&SYSTEM
  ibrav = 0, nat = 4, ntyp = 3
/
ATOMIC_SPECIES
B 10.81 B.upf
Ti 47.87 Ti.upf
Ru 101.07 Ru.upf
CELL_PARAMETERS angstrom
3.8223 0.0000 0.0000
1.9112 3.3102 0.0000
1.9112 1.1034 3.1209
ATOMIC_POSITIONS angstrom
B 1.9112 1.1034 0.7802
B 5.7335 3.3102 2.3407
Ti 0.0000 0.0000 0.0000
Ru 3.8223 2.2068 1.5604
```

***

A crystal of K6InP3 relaxed with PBEsol. Source: Alexandria, functional SCAN. Values from VASP.

Results
Calculated formation energy in eV/atom: -0.4709
Energy in eV per atom: -11.926
Magnetization in μB/cell: 0.00
Space-group type: P1, No. 1

The structure in Quantum ESPRESSO input format:
```
&SYSTEM
  ibrav = 0, nat = 20, ntyp = 3
/
ATOMIC_SPECIES
K 39.10 K.upf
P 30.97 P.upf
In 114.82 In.upf
CELL_PARAMETERS angstrom
8.8323 0.0085 0.0017
4.3667 7.7013 -0.0009
2.8826 -0.0152 9.3554
ATOMIC_POSITIONS angstrom
K 5.4967 0.9691 9.3024
K 10.4292 1.4041 3.5033
K 8.1901 6.1131 8.2944
K 6.8223 2.9048 0.5007
K 5.4494 6.1569 5.6834
K 9.6754 4.2352 5.6343
K 10.6782 6.9931 0.1231
K 3.6118 3.8163 1.4152
K 11.3892 6.7218 3.5994
K 4.6392 1.1170 5.6758
K 12.4086 3.9540 8.0978
K 6.6187 3.3561 3.8115
P 5.5281 6.1504 2.2291
P 4.7279 0.9648 2.4120
P 10.5956 1.3337 7.0718
P 11.2508 6.7829 6.9315
P 9.4348 4.2731 2.2222
P 6.7175 3.4431 7.1971
In 8.0678 1.3167 6.9574
In 8.0254 6.3498 2.3249
```

***

A crystal of Ti2InHgF relaxed with PBEsol. Source: Alexandria, functional SCAN. Values from VASP.

Results
Energy in eV per atom: -27.124
Magnetization in μB/cell: 3.86
Formation energy without anion corrections in meV per atom: 307
Space-group type: P4/mmm, No. 123

The structure in Quantum ESPRESSO input format:
```
&SYSTEM
  ibrav = 0, nat = 5, ntyp = 4
/
ATOMIC_SPECIES
F 19.00 F.upf
Ti 47.87 Ti.upf
In 114.82 In.upf
Hg 200.59 Hg.upf
CELL_PARAMETERS angstrom
4.2546 0.0000 0.0000
0.0000 5.1956 0.0000
0.0000 0.0000 5.1956
ATOMIC_POSITIONS angstrom
F 2.1273 0.0000 0.0000
Ti 0.0000 0.0000 2.5978
Ti 0.0000 2.5978 0.0000
In 0.0000 0.0000 0.0000
Hg 2.1273 2.5978 2.5978
```

***

A crystal of MgZn2Sb relaxed with PBEsol. Source: Alexandria, functional SCAN. Values from VASP.

Results
Energy in eV per atom: -17.315
Magnetization in μB/cell: 0.00
Formation energy without anion corrections in meV per atom: 1
Space-group type: Cm, No. 8

The structure in Quantum ESPRESSO input format:
```
&SYSTEM
  ibrav = 0, nat = 4, ntyp = 3
/
ATOMIC_SPECIES
Zn 65.41 Zn.upf
Mg 24.30 Mg.upf
Sb 121.76 Sb.upf
CELL_PARAMETERS angstrom
3.3819 0.0000 0.0000
-1.6909 4.2190 -0.0134
0.0000 -1.1072 5.6049
ATOMIC_POSITIONS angstrom
Zn 1.6909 3.0996 5.2373
Zn 0.0000 1.2760 4.4604
Mg 1.6909 -0.5561 3.0011
Sb 1.6909 1.8506 1.2865
```

***

A crystal of Tl2HgAu relaxed with PBEsol. Source: Alexandria, functional SCAN. Values from VASP.

Results
Calculated formation energy in eV/atom: -0.0341
Energy in eV per atom: -70.544
E above lowest polymorph in meV/atom: 0
Magnetization in μB/cell: 0.00
Space-group type: R-3m, No. 166

The structure in Quantum ESPRESSO input format:
```
&SYSTEM
  ibrav = 0, nat = 4, ntyp = 3
/
ATOMIC_SPECIES
Hg 200.59 Hg.upf
Au 196.97 Au.upf
Tl 204.38 Tl.upf
CELL_PARAMETERS angstrom
-1.3340 3.8605 0.5096
-2.7837 1.5745 -2.5914
-6.6568 -0.5723 3.5338
ATOMIC_POSITIONS angstrom
Hg 0.0000 0.0000 0.0000
Au -5.3872 2.4314 0.7260
Tl -7.9462 3.7078 0.9812
Tl -2.8283 1.1549 0.4708
```

***

A crystal of Zn2CoOs relaxed with PBEsol. Source: Alexandria, functional SCAN. Values from VASP.

Results
Calculated formation energy in eV/atom: 0.2051
Energy in eV per atom: -28.849
E above lowest polymorph in meV/atom: 91
Magnetization in μB/cell: 2.20
Space-group type: Cmm2, No. 35

The structure in Quantum ESPRESSO input format:
```
&SYSTEM
  ibrav = 0, nat = 4, ntyp = 3
/
ATOMIC_SPECIES
Co 58.93 Co.upf
Os 190.23 Os.upf
Zn 65.41 Zn.upf
CELL_PARAMETERS angstrom
-0.0762 -2.3537 -1.1451
-0.9078 0.1563 2.4512
-7.8480 1.7215 -3.0162
ATOMIC_POSITIONS angstrom
Co -3.9269 0.8614 -1.5092
Os -2.5557 -0.6460 -0.1401
Zn -6.2824 0.1714 -1.5724
Zn -7.8390 1.7195 -3.0127
```

***

A crystal of TaGeMoOs2 relaxed with PBEsol. Source: Alexandria, functional SCAN. Values from VASP.

Results
Calculated formation energy in eV/atom: 1.1972
Energy in eV per atom: -51.666
Magnetization in μB/cell: 0.00
Space-group type: P4/mmm, No. 123

The structure in Quantum ESPRESSO input format:
```
&SYSTEM
  ibrav = 0, nat = 5, ntyp = 4
/
ATOMIC_SPECIES
Ta 180.95 Ta.upf
Ge 72.64 Ge.upf
Os 190.23 Os.upf
Mo 95.94 Mo.upf
CELL_PARAMETERS angstrom
-3.5180 2.6523 0.0289
-2.3764 -3.1730 1.9226
1.2017 1.5498 4.0432
ATOMIC_POSITIONS angstrom
Ta -2.3464 0.5146 2.9974
Ge 0.0000 0.0000 0.0000
Os -1.7590 1.3262 0.0145
Os -1.1882 -1.5865 0.9613
Mo 0.6009 0.7749 2.0216
```

***

A crystal of TiOF2 relaxed with PBEsol. Source: Alexandria, functional SCAN. Values from VASP.

Results
Energy in eV per atom: -9.553
E above lowest polymorph in meV/atom: 1182
Magnetization in μB/cell: 0.29
Formation energy without anion corrections in meV per atom: -2218
Space-group type: I-42d, No. 122

The structure in Quantum ESPRESSO input format:
```
&SYSTEM
  ibrav = 0, nat = 8, ntyp = 3
/
ATOMIC_SPECIES
F 19.00 F.upf
O 16.00 O.upf
Ti 47.87 Ti.upf
CELL_PARAMETERS angstrom
-2.0219 2.3480 -0.6385
-1.0788 -1.6091 -2.5012
-3.3991 -3.5029 5.7205
ATOMIC_POSITIONS angstrom
F -3.0976 0.6615 -0.0899
F -2.4778 -1.4893 -0.9744
F -2.8974 -2.4758 3.9896
F -4.5268 -2.2244 2.2364
O -3.4857 -0.3927 1.7561
O -1.5503 0.3695 -1.5698
Ti -3.0141 -2.3713 0.8248
Ti 0.0000 0.0000 0.0000
```

***

A crystal of Sb2TeW relaxed with PBEsol. Source: Alexandria, functional SCAN. Values from VASP.

Results
Energy in eV per atom: -44.945
Magnetization in μB/cell: 0.00
Formation energy without anion corrections in meV per atom: 420
Space-group type: P4/mmm, No. 123

The structure in Quantum ESPRESSO input format:
```
&SYSTEM
  ibrav = 0, nat = 4, ntyp = 3
/
ATOMIC_SPECIES
Sb 121.76 Sb.upf
W 183.84 W.upf
Te 127.60 Te.upf
CELL_PARAMETERS angstrom
3.2356 0.0000 0.0000
0.0000 3.2356 0.0000
0.0000 0.0000 9.0343
ATOMIC_POSITIONS angstrom
Sb 0.0000 0.0000 2.8437
Sb 0.0000 0.0000 6.1906
W 1.6178 1.6178 4.5172
Te 1.6178 1.6178 0.0000
```

***

A crystal of UI3 relaxed with PBEsol. Source: Alexandria, functional SCAN. Values from VASP.

Results
Energy in eV per atom: -54.292
Magnetization in μB/cell: 6.00
Formation energy without anion corrections in meV per atom: -854
Space-group type: Cmcm, No. 63

The structure in Quantum ESPRESSO input format:
```
&SYSTEM
  ibrav = 0, nat = 8, ntyp = 2
/
ATOMIC_SPECIES
I 126.90 I.upf
U 238.03 U.upf
CELL_PARAMETERS angstrom
-1.3994 -7.2978 -0.9586
3.7363 5.3906 3.6217
-7.1220 0.4980 6.6061
ATOMIC_POSITIONS angstrom
I -1.9985 4.7927 8.2256
I -2.6852 -2.6239 3.5168
I -4.7191 1.3979 8.1818
I -2.1000 1.2148 5.7524
I -2.7867 -6.2018 1.0436
I -0.0660 -2.8071 1.0874
U 0.5980 2.1606 4.0623
U -5.3832 -3.5698 5.2069
```